1.
Entry from the Alexandria database: a geometry-optimized Tl2ZnGeRh structure (PBE).

Results
- symmetry = P4/mmm, No. 123
- calculated formation energy (meV per atom) = 161

a = 5.3357 Å, b = 4.7130 Å, c = 5.3357 Å
α = 90.00°, β = 90.00°, γ = 90.00°
Fractional coordinates of all 5 atoms:
Zn 0.5000 0.5000 0.5000
Tl 0.0000 0.0000 0.5000
Tl 0.5000 0.0000 0.0000
Rh 0.0000 0.0000 0.0000
Ge 0.0000 0.5000 0.0000

2.
Entry from the Alexandria database: a geometry-optimized CaMgGaPd structure (PBE).

Results
- symmetry = F-43m, No. 216
- calculated formation energy (meV per atom) = -455

a = 4.8596 Å, b = 4.8596 Å, c = 4.8596 Å
α = 60.00°, β = 60.00°, γ = 60.00°
Fractional coordinates of all 4 atoms:
Mg 0.5000 0.5000 0.5000
Ca 0.0000 0.0000 0.0000
Ga 0.7500 0.7500 0.7500
Pd 0.2500 0.2500 0.2500

3.
Entry from the Alexandria database: a geometry-optimized KTa2Sb structure (PBE).

Results
- symmetry = Pmmm, No. 47
- formation energy from raw total energies (eV/f.u.) = 4.39

a = 3.8074 Å, b = 4.6794 Å, c = 5.0079 Å
α = 90.00°, β = 90.00°, γ = 90.00°
Fractional coordinates of all 4 atoms:
K 0.5000 0.0000 0.5000
Sb 0.0000 0.5000 0.5000
Ta 0.0000 0.0000 0.0000
Ta 0.5000 0.5000 0.0000

4.
Entry from the Alexandria database: a geometry-optimized PmEr2TmS4 structure (PBE).

Results
- symmetry = P2/m, No. 10
- formation energy from raw total energies (eV/f.u.) = -15.68

a = 3.8580 Å, b = 6.7593 Å, c = 6.8142 Å
α = 71.10°, β = 90.00°, γ = 90.00°
Fractional coordinates of all 8 atoms:
Pm 0.5000 0.5000 0.0000
Er 0.0000 0.0000 0.0000
Er 0.5000 0.0000 0.5000
Tm 0.0000 0.5000 0.5000
S 0.0000 0.7598 0.7385
S 0.0000 0.2402 0.2615
S 0.5000 0.7534 0.2569
S 0.5000 0.2466 0.7431

5.
Entry from the Alexandria database: a geometry-optimized Rb6Ho3Br14 structure (PBE).

Results
- symmetry = P3, No. 143
- formation energy from raw total energies (eV/f.u.) = -39.63

a = 7.4914 Å, b = 12.3788 Å, c = 12.3788 Å
α = 120.00°, β = 90.00°, γ = 90.00°
Fractional coordinates of all 23 atoms:
Rb 0.2575 0.7953 0.0894
Rb 0.2575 0.9106 0.7059
Rb 0.2575 0.2941 0.2047
Rb 0.7866 0.5380 0.5601
Rb 0.7866 0.4399 0.9779
Rb 0.7866 0.0221 0.4620
Ho 0.8155 0.0000 0.0000
Ho 0.3507 0.3333 0.6667
Ho 0.4504 0.6667 0.3333
Br 0.9762 0.0710 0.2211
Br 0.9762 0.7789 0.8499
Br 0.9762 0.1501 0.9290
Br 0.4995 0.2505 0.4422
Br 0.4995 0.5578 0.8082
Br 0.4995 0.1918 0.7495
Br 0.4569 0.0000 0.0000
Br 0.9913 0.3333 0.6667
Br 0.6647 0.7447 0.1980
Br 0.6647 0.8020 0.5467
Br 0.6647 0.4533 0.2553
Br 0.2415 0.5903 0.4720
Br 0.2415 0.5280 0.1183
Br 0.2415 0.8817 0.4097

6.
Entry from the Alexandria database: a geometry-optimized TaVTeN2 structure (PBE).

Results
- symmetry = P4/mmm, No. 123
- formation energy from raw total energies (eV/f.u.) = 2.94
- excess energy over the best structure of this formula in the dataset (eV per formula unit) = 0.00

a = 4.0146 Å, b = 4.0146 Å, c = 5.7275 Å
α = 90.00°, β = 90.00°, γ = 90.00°
Fractional coordinates of all 5 atoms:
N 0.0000 0.5000 0.0000
N 0.5000 0.0000 0.0000
V 0.5000 0.5000 0.5000
Te 0.0000 0.0000 0.5000
Ta 0.0000 0.0000 0.0000